An optimized crystal structure of RbCeMnF6. Source: Alexandria, functional PBE+U.

abc: 7.9277 7.4919 7.5750
angles: 119.64 121.55 90.00
Each line ends with the local moment (μB).
Element x y z (fractional)
1 Rb 0.8363 0.5863 0.6725  0.00
2 Rb 0.1637 0.4137 0.3275  0.00
3 Ce 0.5000 0.0000 0.5000  0.98
4 Ce 0.0000 0.0000 0.5000  0.98
5 Mn 0.5000 0.5000 0.0000  -0.97
6 Mn 0.5000 0.0000 0.0000  -0.97
7 F 0.5932 0.8432 0.1864  0.01
8 F 0.8696 0.1196 0.7392  -0.01
9 F 0.8231 0.1549 0.2684  0.00
10 F 0.4453 0.6135 0.2684  0.00
11 F 0.4453 0.1549 0.2684  0.00
12 F 0.8231 0.6135 0.2684  0.00
13 F 0.4068 0.1568 0.8136  0.01
14 F 0.1304 0.8804 0.2608  -0.01
15 F 0.1769 0.8451 0.7316  0.00
16 F 0.5547 0.3865 0.7316  0.00
17 F 0.5547 0.8451 0.7316  0.00
18 F 0.1769 0.3865 0.7316  0.00

Values from the calculation:
total DFT energy (no corrections): -104.0 eV for the cell shown